Entry 1:
This record from the Alexandria database describes crystalline BaPuCdGe at its relaxed geometry. The functional is GGA-PBE.

Properties
- density of states at the Fermi level (states/eV per cell) = 50.4
- mass density (g/cm3) = 7.83
- magnetization (μB/atom) = 1.5181
- E_tot (eV per atom) = -5.587
- DFT formation energy (meV per atom) = -140

Unit cell a=7.8322 b=7.8322 c=7.8322 alpha=90.00 beta=90.00 gamma=90.00
Space group F-43m (No. 216)
Unique sites:
Ba  0.0000  0.0000  0.0000 [4 per cell]
Pu  0.0000  0.0000  0.5000 [4 per cell]
Cd  0.2500  0.2500  0.7500 [4 per cell]
Ge  0.2500  0.2500  0.2500 [4 per cell]

Entry 2:
This record from the Alexandria database describes crystalline In2NiPt at its relaxed geometry. The functional is GGA-PBE.

Properties
- density of states at the Fermi level (states/eV per cell) = 1.8
- mass density (g/cm3) = 11.69
- magnetization (μB/atom) = 0.0000
- E_tot (eV per atom) = -4.541
- DFT formation energy (meV per atom) = -216

Unit cell a=3.3853 b=4.5030 c=4.5042 alpha=90.00 beta=90.00 gamma=90.00
Space group Pmm2 (No. 25)
Unique sites:
In  0.0000  0.0000  0.0000 [1 per cell]
In  0.0000  0.5000  0.4994 [1 per cell]
Ni  0.5000  0.0000  0.5005 [1 per cell]
Pt  0.5000  0.5000  0.9992 [1 per cell]

Question: What is the E_tot in the second record?
Answer: -4.541 eV per atom

Question: Among the records above, which one has the lowest mass density?
Answer: BaPuCdGe

Question: What is the E_tot in the first record?
Answer: -5.587 eV per atom

Question: Among the records above, which one has the highest magnetization?
Answer: BaPuCdGe